This record from Alexandria via LeMat-Bulk describes a geometry-optimized WBrNO2 structure. The functional is PBE+U.

As for the total moment: 3.27 μB/f.u. As for the uncorrected energy: -0.293 Ry per atom.

The structure belongs to space group P4/mmm (No. 123); the cell edges are 4.139, 4.139 and 3.829 Å and the angles 90.00°, 90.00° and 90.00°. The distinct sites, in fractional coordinates, are W at (0.000, 0.000, 0.000), Br at (0.500, 0.500, 0.500), N at (0.500, 0.500, 0.000) and O at (0.000, 0.500, 0.500).